Below is crystalline FeSiNiOs at its relaxed geometry, with properties calculated at the GGA-PBE level.

## Properties
Magnetic moment = 3.33 Bohr magnetons per cell
Energy relative to the elements, uncorrected = -158 meV per atom
Energy = -7.88 eV per atom

a b c (Å): 4.1132 4.1132 4.1132
angles (deg): 60.00 60.00 60.00
Sites, in units of the cell vectors:
Ni 0.7500 0.7500 0.7500
Si 0.5000 0.5000 0.5000
Os 0.2500 0.2500 0.2500
Fe 0.0000 0.0000 0.0000